Compound: Ca2SiAsPt6
Source: Alexandria
Functional: GGA-PBE
Structure: optimized geometry

Output
- Space-group type: R-3m, No. 166
- Raw formation energy: -706 meV per atom
- Total energy: -5.738 eV/atom

Unit cell a=8.1783 b=8.1783 c=8.1783 alpha=40.14 beta=40.14 gamma=40.14
Positions (direct):
Ca 0.2025 0.2025 0.2025
Ca 0.7975 0.7975 0.7975
Si 0.5000 0.5000 0.5000
As 0.0000 0.0000 0.0000
Pt 0.2533 0.2533 0.7457
Pt 0.2533 0.7457 0.2533
Pt 0.2543 0.7467 0.7467
Pt 0.7457 0.2533 0.2533
Pt 0.7467 0.2543 0.7467
Pt 0.7467 0.7467 0.2543